Entry 1:
Material: CaNi3Ag
Method: DFT, GGA-PBEsol
State: relaxed

Values from the calculation:
SG: Pm-3m
E_form, eV/atom: 0.876

Cell: 4.595 4.595 4.595 Å, 90.00 90.00 90.00°
Positions (direct):
Ca: 0.000 0.000 0.000
Ni: 0.000 0.500 0.500
Ni: 0.500 0.000 0.500
Ni: 0.500 0.500 0.000
Ag: 0.500 0.500 0.500

---

Entry 2:
Material: YB2Rh2C
Method: DFT, GGA-PBEsol
State: relaxed

Values from the calculation:
SG: I4/mmm
E_form, eV/atom: -0.630

Cell: 3.747 3.747 10.301 Å, 90.00 90.00 90.00°
Positions (direct):
Y: 0.000 0.000 0.000
Y: 0.500 0.500 0.500
B: 0.000 0.000 0.355
B: 0.000 0.000 0.645
B: 0.500 0.500 0.145
B: 0.500 0.500 0.855
Rh: 0.000 0.500 0.250
Rh: 0.000 0.500 0.750
Rh: 0.500 0.000 0.250
Rh: 0.500 0.000 0.750
C: 0.000 0.000 0.500
C: 0.500 0.500 0.000

---

Entry 3:
Material: SnAu3
Method: DFT, GGA-PBEsol
State: relaxed

Values from the calculation:
SG: P6_3/mmc
E_form, eV/atom: -0.054

Cell: 5.829 5.829 5.011 Å, 90.00 90.00 120.00°
Positions (direct):
Sn: 0.333 0.667 0.250
Sn: 0.667 0.333 0.750
Au: 0.165 0.330 0.750
Au: 0.165 0.835 0.750
Au: 0.330 0.165 0.250
Au: 0.670 0.835 0.750
Au: 0.835 0.165 0.250
Au: 0.835 0.670 0.250

---

Entry 4:
Material: LaAsOsBr2
Method: DFT, GGA-PBEsol
State: relaxed

Values from the calculation:
SG: P4/mmm
ΔE_f (raw), eV/atom: -0.14

Cell: 5.048 5.048 4.723 Å, 90.00 90.00 90.00°
Positions (direct):
La: 0.000 0.000 0.000
As: 0.500 0.500 0.000
Os: 0.500 0.500 0.500
Br: 0.000 0.500 0.500
Br: 0.500 0.000 0.500

---

Entry 5:
Material: TaAlAu2
Method: DFT, GGA-PBEsol
State: relaxed

Values from the calculation:
SG: P4mm
E_form, eV/atom: -0.266

Cell: 2.937 2.937 7.587 Å, 90.00 90.00 90.00°
Positions (direct):
Ta: 0.000 0.000 0.000
Al: 0.500 0.500 0.248
Au: 0.000 0.000 0.467
Au: 0.500 0.500 0.747

---

Entry 6:
Material: KHg3
Method: DFT, GGA-PBEsol
State: relaxed

Values from the calculation:
SG: Pm-3n
E_form, eV/atom: -0.134

Cell: 6.029 6.029 6.029 Å, 90.00 90.00 90.00°
Positions (direct):
K: 0.000 0.000 0.000
K: 0.500 0.500 0.500
Hg: 0.000 0.250 0.500
Hg: 0.000 0.750 0.500
Hg: 0.250 0.500 0.000
Hg: 0.500 0.000 0.250
Hg: 0.500 0.000 0.750
Hg: 0.750 0.500 0.000

---

Entry 7:
Material: KTc3Sb
Method: DFT, GGA-PBEsol
State: relaxed

Values from the calculation:
SG: Pm-3m
ΔE_f (raw), eV/atom: 1.98

Cell: 4.962 4.962 4.962 Å, 90.00 90.00 90.00°
Positions (direct):
K: 0.000 0.000 0.000
Tc: 0.000 0.500 0.500
Tc: 0.500 0.000 0.500
Tc: 0.500 0.500 0.000
Sb: 0.500 0.500 0.500

---

Entry 8:
Material: Ti2TeBr2
Method: DFT, GGA-PBEsol
State: relaxed

Values from the calculation:
SG: I4/mmm
ΔE_f (raw), eV/atom: -0.38

Cell: 4.657 4.657 10.089 Å, 90.00 90.00 90.00°
Positions (direct):
Ti: 0.000 0.500 0.250
Ti: 0.000 0.500 0.750
Ti: 0.500 0.000 0.250
Ti: 0.500 0.000 0.750
Te: 0.000 0.000 0.000
Te: 0.500 0.500 0.500
Br: 0.000 0.000 0.351
Br: 0.000 0.000 0.649
Br: 0.500 0.500 0.149
Br: 0.500 0.500 0.851

---

Entry 9:
Material: TiReNiHg2
Method: DFT, GGA-PBEsol
State: relaxed

Values from the calculation:
SG: P4/mmm
E_form, eV/atom: 1.797

Cell: 5.020 5.020 4.126 Å, 90.00 90.00 90.00°
Positions (direct):
Ti: 0.000 0.000 0.000
Re: 0.500 0.500 0.500
Ni: 0.000 0.000 0.500
Hg: 0.000 0.500 0.000
Hg: 0.500 0.000 0.000

---

Entry 10:
Material: LiMnNi2
Method: DFT, GGA-PBEsol
State: relaxed

Values from the calculation:
SG: P4/mmm
E_form, eV/atom: 0.066

Cell: 2.446 2.446 7.220 Å, 90.00 90.00 90.00°
Positions (direct):
Li: 0.000 0.000 0.000
Mn: 0.000 0.000 0.500
Ni: 0.500 0.500 0.269
Ni: 0.500 0.500 0.731

---

Entry 11:
Material: TiGa3Sn
Method: DFT, GGA-PBEsol
State: relaxed

Values from the calculation:
SG: Pm-3m
E_form, eV/atom: 1.010

Cell: 5.102 5.102 5.102 Å, 90.00 90.00 90.00°
Positions (direct):
Ti: 0.000 0.000 0.000
Ga: 0.000 0.500 0.500
Ga: 0.500 0.000 0.500
Ga: 0.500 0.500 0.000
Sn: 0.500 0.500 0.500

---

Entry 12:
Material: Mg4CrRu
Method: DFT, GGA-PBEsol
State: relaxed

Values from the calculation:
SG: F-43m
E_form, eV/atom: 0.661

Cell: 5.328 5.328 5.328 Å, 60.00 60.00 60.00°
Positions (direct):
Mg: 0.376 0.376 0.376
Mg: 0.376 0.376 0.873
Mg: 0.376 0.873 0.376
Mg: 0.873 0.376 0.376
Cr: 0.000 0.000 0.000
Ru: 0.750 0.750 0.750

---

Entry 13:
Material: LaOsAu2
Method: DFT, GGA-PBEsol
State: relaxed

Values from the calculation:
SG: P4/mmm
E_form, eV/atom: -0.011

Cell: 4.186 4.186 4.322 Å, 90.00 90.00 90.00°
Positions (direct):
La: 0.000 0.000 0.000
Os: 0.500 0.500 0.000
Au: 0.000 0.500 0.500
Au: 0.500 0.000 0.500

---

Entry 14:
Material: Hf2OsClF
Method: DFT, GGA-PBEsol
State: relaxed

Values from the calculation:
SG: P4/mmm
ΔE_f (raw), eV/atom: -0.12

Cell: 4.257 4.257 4.515 Å, 90.00 90.00 90.00°
Positions (direct):
Hf: 0.000 0.500 0.000
Hf: 0.500 0.000 0.000
Os: 0.000 0.000 0.500
Cl: 0.500 0.500 0.500
F: 0.500 0.500 0.000

---

Entry 15:
Material: Y2Mo
Method: DFT, GGA-PBEsol
State: relaxed

Values from the calculation:
SG: Cmcm
E above lowest polymorph, eV/atom: 0.026
E_form, eV/atom: 0.378

Cell: 3.585 16.051 5.008 Å, 90.00 90.00 90.00°
Positions (direct):
Y: 0.000 0.086 0.250
Y: 0.000 0.205 0.750
Y: 0.000 0.795 0.250
Y: 0.000 0.914 0.750
Y: 0.500 0.295 0.250
Y: 0.500 0.414 0.750
Y: 0.500 0.586 0.250
Y: 0.500 0.705 0.750
Mo: 0.000 0.454 0.250
Mo: 0.000 0.546 0.750
Mo: 0.500 0.046 0.750
Mo: 0.500 0.954 0.250

---

Entry 16:
Material: MnFe4Ru
Method: DFT, GGA-PBEsol
State: relaxed

Values from the calculation:
SG: F-43m
E_form, eV/atom: 0.117

Cell: 4.580 4.580 4.580 Å, 60.00 60.00 60.00°
Positions (direct):
Mn: 0.000 0.000 0.000
Fe: 0.375 0.375 0.375
Fe: 0.375 0.375 0.875
Fe: 0.375 0.875 0.375
Fe: 0.875 0.375 0.375
Ru: 0.750 0.750 0.750

---

Entry 17:
Material: Na2HI
Method: DFT, GGA-PBEsol
State: relaxed

Values from the calculation:
SG: I-42d

Cell: 6.925 6.925 8.117 Å, 90.00 90.00 90.00°
Positions (direct):
Na: 0.142 0.750 0.125
Na: 0.250 0.142 0.875
Na: 0.250 0.358 0.375
Na: 0.358 0.750 0.625
Na: 0.642 0.250 0.625
Na: 0.750 0.642 0.375
Na: 0.750 0.858 0.875
Na: 0.858 0.250 0.125
H: 0.000 0.000 0.000
H: 0.000 0.500 0.250
H: 0.500 0.000 0.750
H: 0.500 0.500 0.500
I: 0.000 0.000 0.500
I: 0.000 0.500 0.750
I: 0.500 0.000 0.250
I: 0.500 0.500 0.000

---

Entry 18:
Material: MnBi3I
Method: DFT, GGA-PBEsol
State: relaxed

Values from the calculation:
SG: Pm-3m
ΔE_f (raw), eV/atom: 1.42

Cell: 5.843 5.843 5.843 Å, 90.00 90.00 90.00°
Positions (direct):
Mn: 0.000 0.000 0.000
Bi: 0.000 0.500 0.500
Bi: 0.500 0.000 0.500
Bi: 0.500 0.500 0.000
I: 0.500 0.500 0.500

---

Entry 19:
Material: SrPOF2
Method: DFT, GGA-PBEsol
State: relaxed

Values from the calculation:
SG: P4/mmm
ΔE_f (raw), eV/atom: -1.06

Cell: 4.496 4.496 4.900 Å, 90.00 90.00 90.00°
Positions (direct):
Sr: 0.000 0.000 0.000
P: 0.500 0.500 0.500
O: 0.000 0.000 0.500
F: 0.000 0.500 0.000
F: 0.500 0.000 0.000

---

Entry 20:
Material: Sr2CaWO6
Method: DFT, GGA-PBEsol
State: relaxed

Values from the calculation:
SG: Pmmn
ΔE_f (raw), eV/atom: -2.77

Cell: 5.733 8.228 6.044 Å, 90.00 90.00 90.00°
Positions (direct):
Sr: 0.250 0.018 0.200
Sr: 0.250 0.482 0.200
Sr: 0.750 0.518 0.800
Sr: 0.750 0.982 0.800
Ca: 0.250 0.250 0.723
Ca: 0.750 0.750 0.277
W: 0.250 0.750 0.765
W: 0.750 0.250 0.235
O: 0.002 0.750 0.561
O: 0.019 0.750 0.006
O: 0.250 0.517 0.783
O: 0.250 0.983 0.783
O: 0.481 0.750 0.006
O: 0.498 0.750 0.561
O: 0.502 0.250 0.439
O: 0.519 0.250 0.994
O: 0.750 0.017 0.217
O: 0.750 0.483 0.217
O: 0.981 0.250 0.994
O: 0.998 0.250 0.439

---

no.,raw total energy (eV/cell)
1,-19.5
2,-101.1
3,-32.5
4,-27.1
5,-25.6
6,-6.7
7,-29.6
8,-51.6
9,-20.0
10,-23.8
11,-17.6
12,-23.3
13,-25.5
14,-37.7
15,-97.1
16,-55.1
17,-42.0
18,-17.3
19,-22.0
20,-157.7